Density functional theory data (PBE-GGA) for a relaxed SmCuTc crystal.

Energy of formation from the pure elements = 0.04 eV per atom

a = 5.257 Å, b = 5.257 Å, c = 6.827 Å
α = 112.40°, β = 112.40°, γ = 45.39°
Element x y z (fractional)
Sm  0.073  0.073  0.287
Sm  0.927  0.927  0.713
Cu  0.380  0.380  0.347
Cu  0.620  0.620  0.653
Tc  0.282  0.282  0.938
Tc  0.718  0.718  0.062